(1)
A relaxed Li2Ca4Sn5 crystal. Source: Alexandria, functional PBE.

abc: 10.076 19.699 6.018
angles: 90.00 90.00 90.00
Space group Ibam (No. 72)
Inequivalent atoms, fractional coordinates:
Li (0.000, 0.195, 0.250) x8
Ca (0.112, 0.360, 0.000) x8
Ca (0.246, 0.063, 0.000) x8
Sn (0.000, 0.500, 0.250) x4
Sn (0.070, 0.071, 0.500) x8
Sn (0.207, 0.274, 0.500) x8

---

(2)
A relaxed Li2CaSn2 crystal. Source: Alexandria, functional PBE.

## Properties
ΔE to the lowest computed polymorph	11	meV per atom

abc: 8.351 8.351 3.207
angles: 90.00 90.00 90.00
Space group P4/mbm (No. 127)
Inequivalent atoms, fractional coordinates:
Li (0.116, 0.384, 0.000) x4
Ca (0.000, 0.000, 0.000) x2
Sn (0.178, 0.678, 0.500) x4

---

(3)
A relaxed Li4Ca3Sn2 crystal. Source: Alexandria, functional PBE.

abc: 10.652 4.887 9.073
angles: 90.00 105.34 90.00
Space group C2/m (No. 12)
Inequivalent atoms, fractional coordinates:
Li (0.093, 0.000, 0.154) x4
Li (0.208, 0.500, 0.559) x4
Ca (0.000, 0.000, 0.500) x2
Ca (0.117, 0.500, 0.875) x4
Sn (0.217, 0.500, 0.252) x4

---

(4)
A relaxed LiCaSn3 crystal. Source: Alexandria, functional PBE.

## Properties
ΔE to the lowest computed polymorph	205	meV per atom

abc: 5.096 5.096 5.096
angles: 90.00 90.00 90.00
Space group Pm-3m (No. 221)
Inequivalent atoms, fractional coordinates:
Li (0.000, 0.000, 0.000) x1
Ca (0.500, 0.500, 0.500) x1
Sn (0.000, 0.000, 0.500) x3

---

(5)
A relaxed LiCa4Sn crystal. Source: Alexandria, functional PBE.

abc: 7.552 7.553 7.884
angles: 90.00 90.06 90.00
Space group C2/m (No. 12)
Inequivalent atoms, fractional coordinates:
Li (0.000, 0.000, 0.000) x2
Ca (0.250, 0.250, 0.261) x8
Sn (0.000, 0.500, 0.500) x2

---

(6)
A relaxed LiCa2Sn9 crystal. Source: Alexandria, functional PBE.

abc: 4.708 4.708 14.223
angles: 90.00 90.00 90.00
Space group P4/mmm (No. 123)
Inequivalent atoms, fractional coordinates:
Li (0.000, 0.000, 0.000) x1
Ca (0.000, 0.000, 0.335) x2
Sn (0.000, 0.500, 0.160) x4
Sn (0.000, 0.500, 0.500) x2
Sn (0.500, 0.500, 0.000) x1
Sn (0.500, 0.500, 0.329) x2

---

(7)
A relaxed Li5Ca2Sn2 crystal. Source: Alexandria, functional PBE.

abc: 15.785 6.781 7.756
angles: 90.00 90.00 90.00
Space group Ima2 (No. 46)
Inequivalent atoms, fractional coordinates:
Li (0.063, 0.143, 0.000) x8
Li (0.164, 0.210, 0.741) x8
Li (0.250, 0.598, 0.139) x4
Ca (0.112, 0.673, 0.841) x8
Sn (0.000, 0.000, 0.663) x4
Sn (0.250, 0.501, 0.522) x4

---

(8)
A relaxed LiCaSn6 crystal. Source: Alexandria, functional PBE.

abc: 4.685 4.685 9.453
angles: 90.00 90.00 90.00
Space group P4/mmm (No. 123)
Inequivalent atoms, fractional coordinates:
Li (0.000, 0.000, 0.000) x1
Ca (0.000, 0.000, 0.500) x1
Sn (0.000, 0.500, 0.240) x4
Sn (0.500, 0.500, 0.000) x1
Sn (0.500, 0.500, 0.500) x1

---

(9)
A relaxed Li2Ca3Sn7 crystal. Source: Alexandria, functional PBE.

abc: 4.503 4.503 30.879
angles: 90.00 90.00 90.00
Space group I4/mmm (No. 139)
Inequivalent atoms, fractional coordinates:
Li (0.000, 0.000, 0.140) x4
Ca (0.000, 0.000, 0.333) x4
Ca (0.000, 0.000, 0.500) x2
Sn (0.000, 0.000, 0.000) x2
Sn (0.000, 0.000, 0.231) x4
Sn (0.000, 0.500, 0.083) x8

---

(10)
A relaxed LiCa2Sn6 crystal. Source: Alexandria, functional PBE.

abc: 4.066 14.412 8.329
angles: 90.00 90.00 90.00
Space group Amm2 (No. 38)
Inequivalent atoms, fractional coordinates:
Li (0.000, 0.000, 0.000) x2
Ca (0.500, 0.166, 0.500) x4
Sn (0.000, 0.000, 0.343) x2
Sn (0.000, 0.172, 0.828) x4
Sn (0.500, 0.000, 0.769) x2
Sn (0.500, 0.116, 0.116) x4

---

(11)
A relaxed LiCa2Sn8 crystal. Source: Alexandria, functional PBE.

abc: 4.730 4.730 12.934
angles: 90.00 90.00 90.00
Space group P4/mmm (No. 123)
Inequivalent atoms, fractional coordinates:
Li (0.000, 0.000, 0.000) x1
Ca (0.000, 0.000, 0.313) x2
Sn (0.000, 0.500, 0.125) x4
Sn (0.000, 0.500, 0.500) x2
Sn (0.500, 0.500, 0.313) x2

---

(12)
A relaxed LiCa3Sn crystal. Source: Alexandria, functional PBE.

## Properties
ΔE to the lowest computed polymorph	16	meV per atom

abc: 7.157 8.826 10.035
angles: 90.00 90.18 90.00
Space group P2_1/c (No. 14)
Inequivalent atoms, fractional coordinates:
Li (0.063, 0.203, 0.123) x4
Ca (0.256, 0.055, 0.835) x4
Ca (0.260, 0.044, 0.413) x4
Ca (0.266, 0.684, 0.624) x4
Sn (0.455, 0.221, 0.126) x4

---

(13)
A relaxed LiCa2Sn crystal. Source: Alexandria, functional PBE.

abc: 5.137 5.137 4.287
angles: 90.00 90.00 90.00
Space group P4/mmm (No. 123)
Inequivalent atoms, fractional coordinates:
Li (0.000, 0.000, 0.000) x1
Ca (0.000, 0.500, 0.500) x2
Sn (0.500, 0.500, 0.000) x1

---

(14)
A relaxed LiCa2Sn crystal. Source: Alexandria, functional PBE.

abc: 3.550 5.949 12.711
angles: 90.00 90.00 90.00
Space group Immm (No. 71)
Inequivalent atoms, fractional coordinates:
Li (0.000, 0.000, 0.000) x2
Ca (0.000, 0.000, 0.252) x4
Sn (0.000, 0.000, 0.500) x2

---

(15)
A relaxed LiCa2Sn crystal. Source: Alexandria, functional PBE.

abc: 3.6390 3.6390 35.7044
angles: 90.00 90.00 120.00
Space group R-3m (No. 166, hexagonal axes)
Inequivalent atoms, fractional coordinates:
Li (0.0000, 0.0000, 0.0000) x3
Ca (0.0000, 0.0000, 0.4114) x6
Sn (0.0000, 0.0000, 0.5000) x3

---

(16)
A relaxed LiCa3Sn crystal. Source: Alexandria, functional PBE.

## Properties
ΔE to the lowest computed polymorph	0	meV per atom

abc: 5.326 21.712 5.331
angles: 90.00 90.00 90.00
Space group Cmcm (No. 63)
Inequivalent atoms, fractional coordinates:
Li (0.000, 0.160, 0.250) x4
Ca (0.000, 0.067, 0.750) x4
Ca (0.000, 0.249, 0.750) x4
Ca (0.000, 0.430, 0.750) x4
Sn (0.000, 0.338, 0.250) x4

---

(17)
A relaxed LiCaSn3 crystal. Source: Alexandria, functional PBE.

## Properties
ΔE to the lowest computed polymorph	849	meV per atom

abc: 5.799 5.799 5.799
angles: 90.00 90.00 90.00
Space group Pm-3m (No. 221)
Inequivalent atoms, fractional coordinates:
Li (0.000, 0.000, 0.000) x1
Ca (0.500, 0.500, 0.500) x1
Sn (0.000, 0.500, 0.500) x3

---

(18)
A relaxed LiCa3Sn crystal. Source: Alexandria, functional PBE.

## Properties
ΔE to the lowest computed polymorph	285	meV per atom

abc: 6.039 6.039 6.039
angles: 90.00 90.00 90.00
Space group Pm-3m (No. 221)
Inequivalent atoms, fractional coordinates:
Li (0.000, 0.000, 0.000) x1
Ca (0.000, 0.500, 0.500) x3
Sn (0.500, 0.500, 0.500) x1

---

(19)
A relaxed Li3CaSn2 crystal. Source: Alexandria, functional PBE.

abc: 13.889 4.798 9.171
angles: 90.00 119.21 90.00
Space group C2/m (No. 12)
Inequivalent atoms, fractional coordinates:
Li (0.046, 0.000, 0.373) x4
Li (0.091, 0.500, 0.684) x4
Li (0.230, 0.500, 0.556) x4
Ca (0.140, 0.000, 0.021) x4
Sn (0.057, 0.500, 0.193) x4
Sn (0.205, 0.000, 0.718) x4

---

(20)
A relaxed Li3Ca2Sn5 crystal. Source: Alexandria, functional PBE.

abc: 12.218 12.653 6.434
angles: 90.00 90.00 90.00
Space group Ibam (No. 72)
Inequivalent atoms, fractional coordinates:
Li (0.000, 0.000, 0.250) x4
Li (0.130, 0.372, 0.000) x8
Ca (0.240, 0.369, 0.500) x8
Sn (0.000, 0.240, 0.250) x8
Sn (0.000, 0.500, 0.250) x4
Sn (0.156, 0.108, 0.500) x8

---

Calculated DFT formation energy, -0.4942, -0.4354, -0.3853, -0.1446, -0.1521, -0.2904, -0.3489, -0.2437, -0.3801, -0.2833, -0.3225, -0.3496, -0.4085, 0.1534, 0.1146, -0.3659, 0.4990, -0.0808, -0.4621, -0.4057 eV/atom (same order as the records).